No. 1
First-principles (PBEsol) data for a relaxed ZrSc5 crystal, as listed in Alexandria via LeMat-Bulk.

Summary:
* density of states at the Fermi level: 17.29 states/eV per cell
* E_tot: -6.99 eV/atom
* crystal system: orthorhombic
* ΔE to the lowest computed polymorph: 0.032 eV per atom

a = 4.516 Å, b = 13.542 Å, c = 4.518 Å
α = 90.00°, β = 90.00°, γ = 90.00°
Space group Cmmm (No. 65)
Symmetry-distinct sites (fractional):
Zr1 0.000 0.000 0.000 x2
Sc1 0.000 0.162 0.500 x4
Sc2 0.000 0.338 0.000 x4
Sc3 0.000 0.500 0.500 x2

No. 2
First-principles (PBEsol) data for a relaxed AlCrIr2 crystal, as listed in Alexandria via LeMat-Bulk.

Summary:
* density of states at the Fermi level: 6.56 states/eV per cell
* E_tot: -8.93 eV/atom
* crystal system: orthorhombic

a = 5.707 Å, b = 6.628 Å, c = 2.838 Å
α = 90.00°, β = 90.00°, γ = 90.00°
Space group Cmmm (No. 65)
Symmetry-distinct sites (fractional):
Al1 0.000 0.000 0.000 x2
Cr1 0.000 0.500 0.000 x2
Ir1 0.250 0.250 0.500 x4

No. 3
First-principles (PBEsol) data for a relaxed MgCoP2 crystal, as listed in Alexandria via LeMat-Bulk.

Summary:
* density of states at the Fermi level: 2.57 states/eV per cell
* E_tot: -5.24 eV/atom
* crystal system: orthorhombic

a = 3.461 Å, b = 3.688 Å, c = 4.109 Å
α = 90.00°, β = 90.00°, γ = 90.00°
Space group Pmmm (No. 47)
Symmetry-distinct sites (fractional):
Mg1 0.000 0.000 0.000 x1
Co1 0.000 0.500 0.500 x1
P1 0.500 0.000 0.500 x1
P2 0.500 0.500 0.000 x1

no.,total magnetization (μB/f.u.),formation energy (eV per atom)
1,0.00,0.027
2,2.37,-0.438
3,0.00,0.022